{"formula": "Cd2TcO", "functional": "PBE", "state": "optimized geometry", "mass_density_g_cm3": 7.2, "formation_energy_uncorrected_kj_per_mol_atoms": 13, "magmom_total_mub_per_cell": 0.00, "volume_a3_per_cell": 156.6, "lattice": [[9.084, 0.000, 0.000], [0.000, 9.084, 0.000], [4.542, 4.542, 1.897]], "species": ["Tc", "Tc", "O", "O", "Cd", "Cd", "Cd", "Cd"], "frac_coords": [[0.000, 0.000, 0.000], [0.750, 0.250, 0.500], [0.500, 0.500, 0.000], [0.250, 0.750, 0.500], [0.505, 0.125, 0.250], [0.245, 0.625, 0.250], [0.375, 0.495, 0.750], [0.875, 0.755, 0.750]]}